1.
The following is a DFT calculation (PBE-GGA) of a relaxed MgBeHg crystal.

Cell and atoms, written as POSCAR:
```
MgBeHg
1.0
-1.753 1.753 4.168
1.753 -1.753 4.168
1.753 1.753 -4.168
Mg Be Hg
1 1 1
Cartesian
0.000 0.000 0.000 Mg
0.000 0.000 2.764 Be
0.000 0.000 5.616 Hg
```

Results
ΔH_f (0 K) ... 0.25 eV/atom
Electronic total energy ... -0.1196 Ry per atom
Distance to the lowest polymorph of the same formula ... 0.136 eV per atom

---

2.
The following is a DFT calculation (PBE-GGA) of a relaxed AcSiNi crystal.

Cell and atoms, written as POSCAR:
```
AcSiNi
1.0
6.382 0.000 0.000
0.000 6.382 0.000
0.000 0.000 6.382
Ac Si Ni
4 4 4
Cartesian
0.860 0.860 0.860 Ac
2.331 5.522 4.051 Ac
4.051 2.331 5.522 Ac
5.522 4.051 2.331 Ac
1.007 2.184 4.199 Si
2.184 4.199 1.007 Si
4.199 1.007 2.184 Si
5.375 5.375 5.375 Si
0.576 3.768 5.806 Ni
2.615 2.615 2.615 Ni
3.768 5.806 0.576 Ni
5.806 0.576 3.768 Ni
```

Results
Electronic total energy ... -0.4229 Ry per atom
Formation energy from raw total energies ... -1.9 eV per formula unit
Distance to the lowest polymorph of the same formula ... 0.002 eV per atom

---

3.
The following is a DFT calculation (PBE-GGA) of a relaxed ScCdIr2 crystal.

Cell and atoms, written as POSCAR:
```
ScCdIr2
1.0
-1.981 1.981 4.304
1.981 -1.981 4.304
1.981 1.981 -4.304
Sc Cd Ir
1 1 2
Cartesian
0.000 0.000 0.000 Sc
1.981 0.000 2.152 Cd
0.000 0.000 4.304 Ir
0.000 1.981 2.152 Ir
```

Results
ΔH_f (0 K) ... -0.29 eV/atom
Electronic total energy ... -0.4800 Ry per atom

---

4.
The following is a DFT calculation (PBE-GGA) of a relaxed PaBeP crystal.

Cell and atoms, written as POSCAR:
```
PaBeP
1.0
3.637 0.000 0.000
-1.818 3.150 0.000
0.000 0.000 4.173
Pa Be P
1 1 1
Cartesian
0.000 0.000 0.000 Pa
1.818 1.050 2.086 Be
0.000 2.100 2.086 P
```

Results
ΔH_f (0 K) ... -0.84 eV/atom
Electronic total energy ... -0.5183 Ry per atom
Distance to the lowest polymorph of the same formula ... 0.000 eV per atom